(1)
This record from Alexandria via LeMat-Bulk describes an optimized crystal structure of Fe2SiAg. The functional is PBE.

* crystal system: cubic

Cell: 4.2218 4.2218 4.2218 Å, 60.00 60.00 60.00°
Last column: magnetic moment on the atom in μB.
Element x y z (fractional)
Ag: 0.5000 0.5000 0.5000  0.01
Si: 0.2500 0.2500 0.2500  -0.02
Fe: 0.0000 0.0000 0.0000  2.04
Fe: 0.7500 0.7500 0.7500  2.62

(2)
This record from Alexandria via LeMat-Bulk describes an optimized crystal structure of FeSiAg2. The functional is PBE.

* crystal system: tetragonal

Cell: 4.9957 4.9957 4.9957 Å, 134.78 134.78 65.88°
Last column: magnetic moment on the atom in μB.
Element x y z (fractional)
Ag: 0.5000 0.5000 0.0000  0.00
Ag: 0.0000 0.0000 0.0000  0.00
Si: 0.7500 0.2500 0.5000  -0.03
Fe: 0.2500 0.7500 0.5000  2.65

(3)
This record from Alexandria via LeMat-Bulk describes an optimized crystal structure of FeSiAg2. The functional is PBE.

* crystal system: tetragonal

Cell: 2.9053 2.9053 6.9916 Å, 90.00 90.00 90.00°
Element x y z (fractional)
Ag: 0.0000 0.0000 0.9741
Ag: 0.5000 0.5000 0.2757
Si: 0.5000 0.5000 0.6945
Fe: 0.0000 0.0000 0.5557

(4)
This record from Alexandria via LeMat-Bulk describes an optimized crystal structure of Fe2SiAg. The functional is PBE.

* crystal system: monoclinic

Cell: 4.3468 4.3468 4.8962 Å, 81.29 81.29 36.52°
Last column: magnetic moment on the atom in μB.
Element x y z (fractional)
Ag: 0.2493 0.2493 0.2472  0.02
Fe: 0.0081 0.0081 0.9605  2.48
Fe: 0.7528 0.7528 0.7418  2.09
Si: 0.4897 0.4897 0.5505  -0.04

(5)
This record from Alexandria via LeMat-Bulk describes an optimized crystal structure of Fe2SiAg. The functional is PBE.

* crystal system: tetragonal

Cell: 3.6883 3.6883 9.1512 Å, 78.37 78.37 90.00°
Last column: magnetic moment on the atom in μB.
Element x y z (fractional)
Ag: 0.0000 0.0000 0.0000  0.02
Ag: 0.7500 0.2500 0.5000  0.02
Fe: 0.8750 0.8306 0.7500  2.42
Fe: 0.5806 0.1250 0.2500  2.45
Fe: 0.3750 0.4194 0.7500  2.43
Fe: 0.1694 0.6250 0.2500  2.44
Si: 0.2500 0.7500 0.5000  -0.02
Si: 0.5000 0.5000 0.0000  -0.02

(6)
This record from Alexandria via LeMat-Bulk describes an optimized crystal structure of FeSi2Ag. The functional is PBE.

* crystal system: orthorhombic

Cell: 6.4544 6.4544 3.6970 Å, 73.34 73.34 23.56°
Element x y z (fractional)
Si: 0.7399 0.7399 0.7600
Si: 0.9288 0.9288 0.0712
Fe: 0.2717 0.2717 0.2283
Ag: 0.5596 0.5596 0.4404

Total energy / eV per cell: -24.30 -18.14 -19.10 -24.47 -46.44 -22.13